1.
This record from the Alexandria database describes a relaxed structure of MnInAu2. The functional is PBE.

Unit cell a=8.7161 b=8.7161 c=8.7161 alpha=21.45 beta=21.45 gamma=21.45
With the nearest neighbours (Å) after each atom.
Sites, in units of the cell vectors:
1 Mn 0.7454 0.7454 0.7454  3 Au 2.66, 3 In 2.90
2 In 0.4989 0.4989 0.4989  3 Au 2.88, 3 Mn 2.90
3 Au 0.0046 0.0046 0.0046  3 Mn 2.66, 3 Au 2.90
4 Au 0.2511 0.2511 0.2511  3 In 2.88, 3 Au 2.90

Summary:
Formation enthalpy at 0 K   0.11 eV per atom
VASP energy   -18.04 eV for the cell shown



2.
This record from the Alexandria database describes a relaxed structure of YAg2W. The functional is PBE.

Unit cell a=5.2043 b=5.2043 c=5.4465 alpha=80.74 beta=80.74 gamma=32.55
With the nearest neighbours (Å) after each atom.
Sites, in units of the cell vectors:
1 W 0.5008 0.5008 0.4760  2 W 2.92, 7 Ag 2.94-3.25, 3 Y 3.02-3.17
2 Ag 0.2483 0.2483 0.2618  5 Ag 2.92-3.07, 3 W 2.94-2.95, 4 Y 3.05-3.13
3 Ag 0.9950 0.9950 0.0101  5 Ag 2.92-3.07, 4 W 2.94-3.25, 3 Y 2.97-3.11
4 Y 0.7558 0.7558 0.7522  2 Y 2.92, 7 Ag 2.97-3.13, 3 W 3.02-3.17

Summary:
Formation enthalpy at 0 K   0.47 eV per atom
Relative energy among the computed polymorphs   0.1171 eV per atom
VASP energy   -23.23 eV for the cell shown



3.
This record from the Alexandria database describes a relaxed structure of AcSi3Tc2. The functional is PBE.

Unit cell a=5.7556 b=6.2622 c=6.2622 alpha=106.29 beta=90.00 gamma=90.00
With the nearest neighbours (Å) after each atom.
Sites, in units of the cell vectors:
1 Ac 0.7500 0.6630 0.6630  11 Si 3.20-3.46, 4 Tc 3.50
2 Ac 0.2500 0.3370 0.3370  11 Si 3.20-3.46, 4 Tc 3.50
3 Si 0.2500 0.5227 0.8997  1 Si 2.42, 4 Tc 2.45-2.60
4 Si 0.7500 0.0885 0.0885  2 Si 2.42, 4 Tc 2.50
5 Si 0.2500 0.8997 0.5227  1 Si 2.42, 4 Tc 2.45-2.60
6 Si 0.2500 0.9115 0.9115  2 Si 2.42, 4 Tc 2.50
7 Si 0.7500 0.4773 0.1003  1 Si 2.42, 4 Tc 2.45-2.60
8 Si 0.7500 0.1003 0.4773  1 Si 2.42, 4 Tc 2.45-2.60
9 Tc 0.5000 0.8066 0.1934  6 Si 2.45-2.60
10 Tc 0.0000 0.1934 0.8066  6 Si 2.45-2.60
11 Tc 0.5000 0.1934 0.8066  6 Si 2.45-2.60
12 Tc 0.0000 0.8066 0.1934  6 Si 2.45-2.60

Summary:
Formation energy (no corrections)   -0.53 eV/atom
VASP energy   -88.57 eV for the cell shown



4.
This record from the Alexandria database describes a relaxed structure of Tm4Ni2Ir. The functional is PBE.

Unit cell a=4.7164 b=4.7164 c=8.1833 alpha=73.25 beta=73.25 gamma=60.00
With the nearest neighbours (Å) after each atom.
Sites, in units of the cell vectors:
1 Tm 0.6241 0.6241 0.1277  4 Ni 2.87-2.89, 3 Ir 2.90
2 Tm 0.1246 0.1246 0.6261  1 Ir 2.89, 4 Ni 2.90-2.93
3 Tm 0.8754 0.8754 0.3739  1 Ir 2.89, 4 Ni 2.90-2.93
4 Tm 0.3759 0.3759 0.8723  4 Ni 2.87-2.89, 3 Ir 2.90
5 Ir 0.0000 0.0000 0.0000  8 Tm 2.89-2.90
6 Ni 0.2512 0.2512 0.2464  8 Tm 2.87-2.93
7 Ni 0.7488 0.7488 0.7536  8 Tm 2.87-2.93

Summary:
Formation enthalpy at 0 K   -0.54 eV per atom
Relative energy among the computed polymorphs   0.0000 eV per atom
VASP energy   -42.09 eV for the cell shown



5.
This record from the Alexandria database describes a relaxed structure of ZnCrFe. The functional is PBE.

Unit cell a=4.1000 b=4.1000 c=2.4748 alpha=90.00 beta=90.00 gamma=120.00
With the nearest neighbours (Å) after each atom.
Sites, in units of the cell vectors:
1 Fe 0.3333 0.6667 0.2916  3 Cr 2.43, 2 Fe 2.47, 3 Zn 2.52
2 Cr 0.0000 0.0000 0.0627  3 Fe 2.43, 2 Cr 2.47, 3 Zn 2.58
3 Zn 0.6667 0.3333 0.6457  2 Zn 2.47, 3 Fe 2.52, 3 Cr 2.58

Summary:
Formation enthalpy at 0 K   0.13 eV per atom
Relative energy among the computed polymorphs   0.0135 eV per atom
VASP energy   -18.96 eV for the cell shown



6.
This record from the Alexandria database describes a relaxed structure of GeAsP. The functional is PBE.

Unit cell a=5.1213 b=5.1206 c=13.4116 alpha=90.00 beta=109.98 gamma=90.00
With the nearest neighbours (Å) after each atom.
Sites, in units of the cell vectors:
1 As 0.2035 0.9088 0.8741  1 P 2.36, 2 Ge 2.49-2.50
2 As 0.7965 0.9088 0.1259  1 P 2.36, 2 Ge 2.49-2.50
3 As 0.7965 0.4088 0.6259  1 P 2.36, 2 Ge 2.49-2.50
4 As 0.2035 0.4088 0.3741  1 P 2.36, 2 Ge 2.49-2.50
5 Ge 0.7456 0.5653 0.2497  2 P 2.36-2.37, 2 As 2.49-2.50
6 Ge 0.2544 0.0653 0.2503  2 P 2.36-2.37, 2 As 2.49-2.50
7 Ge 0.2544 0.5653 0.7503  2 P 2.36-2.37, 2 As 2.49-2.50
8 Ge 0.7456 0.0653 0.7497  2 P 2.36-2.37, 2 As 2.49-2.50
9 P 0.4817 0.7328 0.6375  1 As 2.36, 2 Ge 2.36-2.37
10 P 0.5183 0.7328 0.3625  1 As 2.36, 2 Ge 2.36-2.37
11 P 0.4817 0.2328 0.1375  1 As 2.36, 2 Ge 2.36-2.37
12 P 0.5183 0.2328 0.8625  1 As 2.36, 2 Ge 2.36-2.37

Summary:
Formation enthalpy at 0 K   0.01 eV per atom
Relative energy among the computed polymorphs   0.0100 eV per atom
VASP energy   -58.61 eV for the cell shown



7.
This record from the Alexandria database describes a relaxed structure of BaTlCdAs2. The functional is PBE.

Unit cell a=4.6029 b=8.4970 c=8.8659 alpha=74.50 beta=74.95 gamma=74.28
With the nearest neighbours (Å) after each atom.
Sites, in units of the cell vectors:
1 As 0.6015 0.1764 0.6206  2 Cd 2.75, 1 Tl 2.94
2 As 0.8519 0.2496 0.0466  2 Cd 2.76-2.82, 2 Tl 2.93
3 As 0.3985 0.8236 0.3794  2 Cd 2.75, 1 Tl 2.94
4 As 0.1481 0.7504 0.9534  2 Cd 2.76-2.82, 2 Tl 2.93
5 Cd 0.0639 0.0806 0.7915  4 As 2.75-2.82
6 Cd 0.9361 0.9194 0.2085  4 As 2.75-2.82
7 Tl 0.3760 0.3934 0.8546  4 As 2.93-3.21
8 Tl 0.6240 0.6066 0.1454  4 As 2.93-3.21
9 Ba 0.2119 0.2410 0.3352  5 As 3.32-3.37
10 Ba 0.7881 0.7590 0.6648  5 As 3.32-3.37

Summary:
Formation enthalpy at 0 K   -0.44 eV per atom
VASP energy   -33.44 eV for the cell shown



8.
This record from the Alexandria database describes a relaxed structure of SbPt2WS. The functional is PBE.

Unit cell a=4.9050 b=4.9633 c=4.9050 alpha=90.00 beta=90.00 gamma=90.00
With the nearest neighbours (Å) after each atom.
Sites, in units of the cell vectors:
1 S 0.0000 0.5000 0.0000  2 Sb 2.48
2 W 0.5000 0.5000 0.5000  4 S 3.47, 8 Pt 3.49
3 Pt 0.0000 0.0000 0.5000  2 Sb 2.45
4 Pt 0.5000 0.0000 0.0000  2 Sb 2.45
5 Sb 0.0000 0.0000 0.0000  4 Pt 2.45, 2 S 2.48

Summary:
Formation energy (no corrections)   1.56 eV/atom
VASP energy   -25.48 eV for the cell shown



9.
This record from the Alexandria database describes a relaxed structure of CdMo2Se. The functional is PBE.

Unit cell a=3.1019 b=3.1019 c=7.0809 alpha=90.00 beta=90.00 gamma=90.00
With the nearest neighbours (Å) after each atom.
Sites, in units of the cell vectors:
1 Cd 0.5000 0.5000 0.7500  8 Mo 3.04, 4 Cd 3.10
2 Mo 0.0000 0.0000 0.4537  4 Se 2.63, 1 Mo 2.89
3 Mo 0.0000 0.0000 0.0463  4 Se 2.63, 1 Mo 2.89
4 Se 0.5000 0.5000 0.2500  8 Mo 2.63

Summary:
Formation energy (no corrections)   0.36 eV/atom
Relative energy among the computed polymorphs   0.2114 eV per atom
VASP energy   -24.63 eV for the cell shown



10.
This record from the Alexandria database describes a relaxed structure of PrSm2Ga. The functional is PBE.

Unit cell a=5.0429 b=5.0429 c=6.2202 alpha=66.09 beta=66.09 gamma=60.00
With the nearest neighbours (Å) after each atom.
Sites, in units of the cell vectors:
1 Ga 0.0000 0.0000 0.0000  6 Sm 3.08
2 Sm 0.7276 0.7276 0.8172  3 Ga 3.08, 3 Pr 3.39
3 Sm 0.2724 0.2724 0.1828  3 Ga 3.08, 3 Pr 3.39
4 Pr 0.5000 0.5000 0.5000  8 Sm 3.39-3.75

Summary:
Formation enthalpy at 0 K   -0.04 eV per atom
Relative energy among the computed polymorphs   0.2287 eV per atom
VASP energy   -17.39 eV for the cell shown



11.
This record from the Alexandria database describes a relaxed structure of Li3Ag2Hg4Pd2. The functional is PBE.

Unit cell a=4.5598 b=4.5598 c=11.5300 alpha=90.00 beta=90.00 gamma=120.00
With the nearest neighbours (Å) after each atom.
Sites, in units of the cell vectors:
1 Hg 0.3333 0.6667 0.8343  4 Pd 2.77-2.84, 3 Li 2.82, 1 Ag 3.07
2 Hg 0.6667 0.3333 0.6779  3 Li 2.75, 4 Ag 2.84-2.92, 1 Pd 2.86
3 Hg 0.3333 0.6667 0.3221  3 Li 2.75, 4 Ag 2.84-2.92, 1 Pd 2.86
4 Hg 0.6667 0.3333 0.1657  4 Pd 2.77-2.84, 3 Li 2.82, 1 Ag 3.07
5 Ag 0.6667 0.3333 0.4318  5 Hg 2.84-3.07, 3 Ag 3.07
6 Ag 0.3333 0.6667 0.5682  5 Hg 2.84-3.07, 3 Ag 3.07
7 Pd 0.3333 0.6667 0.0744  3 Li 2.77, 5 Hg 2.77-2.86
8 Pd 0.6667 0.3333 0.9256  3 Li 2.77, 5 Hg 2.77-2.86
9 Li 0.0000 0.0000 0.0000  6 Pd 2.77, 2 Li 2.91
10 Li 0.0000 0.0000 0.2526  6 Hg 2.75-2.82, 1 Li 2.91
11 Li 0.0000 0.0000 0.7474  6 Hg 2.75-2.82, 1 Li 2.91

Summary:
Formation enthalpy at 0 K   -0.19 eV per atom
VASP energy   -25.17 eV for the cell shown



12.
This record from the Alexandria database describes a relaxed structure of ZnPSe2Br. The functional is PBE.

Unit cell a=4.9120 b=4.9120 c=4.9921 alpha=90.00 beta=90.00 gamma=90.00
With the nearest neighbours (Å) after each atom.
Sites, in units of the cell vectors:
1 Zn 0.5000 0.5000 0.5000  4 Br 3.47, 8 Se 3.50
2 P 0.0000 0.0000 0.0000  4 Se 2.46, 2 Br 2.50
3 Se 0.0000 0.5000 0.0000  2 P 2.46
4 Se 0.5000 0.0000 0.0000  2 P 2.46
5 Br 0.0000 0.0000 0.5000  2 P 2.50

Summary:
Formation energy (no corrections)   0.38 eV/atom
Relative energy among the computed polymorphs   0.0000 eV per atom
VASP energy   -13.45 eV for the cell shown



Please write out number 2 again, unchanged.
This record from the Alexandria database describes a relaxed structure of YAg2W. The functional is PBE.

Unit cell a=5.2043 b=5.2043 c=5.4465 alpha=80.74 beta=80.74 gamma=32.55
With the nearest neighbours (Å) after each atom.
Sites, in units of the cell vectors:
1 W 0.5008 0.5008 0.4760  2 W 2.92, 7 Ag 2.94-3.25, 3 Y 3.02-3.17
2 Ag 0.2483 0.2483 0.2618  5 Ag 2.92-3.07, 3 W 2.94-2.95, 4 Y 3.05-3.13
3 Ag 0.9950 0.9950 0.0101  5 Ag 2.92-3.07, 4 W 2.94-3.25, 3 Y 2.97-3.11
4 Y 0.7558 0.7558 0.7522  2 Y 2.92, 7 Ag 2.97-3.13, 3 W 3.02-3.17

Summary:
Formation enthalpy at 0 K   0.47 eV per atom
Relative energy among the computed polymorphs   0.1171 eV per atom
VASP energy   -23.23 eV for the cell shown



Which value of VASP energy does entry 1 give? -18.04 eV for the cell shown